No. 1
Density functional theory data (PBE-GGA) for crystalline NiSbPtBr2 at its relaxed geometry.

The space group is P4/mmm (No. 123) and the conventional cell measures 5.5709, 5.5709 and 4.7759 Å, with angles of 90.00, 90.00 and 90.00 degrees. The inequivalent atoms are Ni at (0.0000, 0.0000, 0.0000), Sb at (0.0000, 0.0000, 0.5000), Pt at (0.5000, 0.5000, 0.0000) and Br at (0.0000, 0.5000, 0.5000).

Its formation energy from raw total energies is 97.25 kJ per mole of atoms. For the final energy, the calculation gives -2.85 eV/atom. The crystal system is tetragonal.

No. 2
Density functional theory data (PBE-GGA) for crystalline Sm8NiPt3Br4 at its relaxed geometry.

The space group is R-3m (No. 166, hexagonal axes) and the conventional cell measures 8.2969, 8.2969 and 23.0120 Å, with angles of 90.00, 90.00 and 120.00 degrees. The inequivalent atoms are Sm at (0.0000, 0.0000, 0.2329), Sm at (0.0082, 0.5041, 0.2315), Ni at (0.0000, 0.0000, 0.5000), Pt at (0.0000, 0.5000, 0.5000), Br at (0.0000, 0.0000, 0.0000) and Br at (0.0000, 0.5000, 0.0000).

Its formation energy from raw total energies is -110.07 kJ per mole of atoms. For the final energy, the calculation gives -5.41 eV/atom. The crystal system is trigonal.

No. 3
Density functional theory data (PBE-GGA) for crystalline Sm6Ni2PtBr3 at its relaxed geometry.

The space group is C2/m (No. 12) and the conventional cell measures 7.0750, 12.2628 and 8.0108 Å, with angles of 90.00, 107.07 and 90.00 degrees. The inequivalent atoms are Sm at (0.2200, 0.0000, 0.1926), Sm at (0.2361, 0.3281, 0.1932), Ni at (0.0000, 0.1667, 0.0000), Pt at (0.0000, 0.5000, 0.0000), Br at (0.0000, 0.0000, 0.5000) and Br at (0.0000, 0.3316, 0.5000).

Its formation energy from raw total energies is -92.42 kJ per mole of atoms. For the final energy, the calculation gives -5.20 eV/atom. The crystal system is monoclinic.